1.
{
  "formula": "TlCd2Pd6",
  "functional": "PBE",
  "state": "optimized geometry",
  "cell": [[-4.498, 0.146, 1.447], [1.895, -4.181, 6.313], [2.114, 5.692, -1.690]],
  "species": ["Pd", "Pd", "Pd", "Cd", "Pd", "Cd", "Tl", "Pd", "Pd"],
  "frac_coords": [[0.500, 0.190, 0.000], [0.500, 0.810, 0.000], [0.833, 0.143, 0.666], [0.337, 0.337, 0.675], [0.167, 0.477, 0.334], [0.663, 0.663, 0.325], [0.000, 0.000, 0.000], [0.833, 0.523, 0.666], [0.167, 0.857, 0.334]],
  "delta_e_f_ev_per_fu": -1.31,
  "e_above_lowest_polymorph_ev_per_atom": 0.076
}

2.
{
  "formula": "TlCd2Pd",
  "functional": "PBE",
  "state": "optimized geometry",
  "cell": [[3.281, 0.000, 0.000], [1.641, 2.842, 0.000], [1.641, 0.947, 9.549]],
  "species": ["Pd", "Tl", "Cd", "Cd"],
  "frac_coords": [[0.667, 0.667, 0.000], [0.500, 0.500, 0.500], [0.262, 0.262, 0.215], [0.072, 0.072, 0.785]],
  "delta_e_f_ev_per_fu": -0.35
}

3.
{
  "formula": "TlCd2Pd4",
  "functional": "PBE",
  "state": "optimized geometry",
  "cell": [[-1.186, 4.018, -3.735], [5.304, -1.571, -0.950], [-3.843, -4.032, -0.692]],
  "species": ["Pd", "Tl", "Cd", "Pd", "Cd", "Pd", "Pd"],
  "frac_coords": [[0.500, 0.000, 0.000], [0.000, 0.000, 0.000], [0.500, 0.500, 0.000], [0.000, 0.000, 0.500], [0.500, 0.000, 0.500], [0.000, 0.500, 0.000], [0.500, 0.500, 0.500]],
  "delta_e_f_ev_per_fu": -1.01
}

4.
{
  "formula": "TlCd2Pd",
  "functional": "PBE",
  "state": "optimized geometry",
  "cell": [[8.426, 0.000, 0.000], [0.000, 8.426, 0.000], [4.213, 4.213, 2.751]],
  "species": ["Tl", "Pd", "Cd", "Cd", "Tl", "Cd", "Pd", "Cd"],
  "frac_coords": [[0.750, 0.250, 0.500], [0.500, 0.500, 0.000], [0.875, 0.817, 0.750], [0.375, 0.433, 0.750], [0.000, 0.000, 0.000], [0.567, 0.125, 0.250], [0.250, 0.750, 0.500], [0.183, 0.625, 0.250]],
  "delta_e_f_ev_per_fu": -0.05
}

5.
{
  "formula": "TlCd4Pd7",
  "functional": "PBE",
  "state": "optimized geometry",
  "cell": [[-3.496, -1.152, 3.465], [4.396, -4.149, 6.744], [-0.961, 4.043, 4.062]],
  "species": ["Cd", "Pd", "Tl", "Pd", "Pd", "Cd", "Cd", "Cd", "Pd", "Pd", "Pd", "Pd"],
  "frac_coords": [[0.410, 0.769, 0.410], [0.500, 0.000, 0.000], [0.000, 0.000, 0.000], [0.037, 0.621, 0.306], [0.654, 0.466, 0.226], [0.265, 0.316, 0.155], [0.590, 0.231, 0.590], [0.735, 0.684, 0.845], [0.346, 0.534, 0.774], [0.963, 0.379, 0.694], [0.794, 0.919, 0.494], [0.206, 0.081, 0.506]],
  "delta_e_f_ev_per_fu": -1.75
}

6.
{
  "formula": "TlCd6Pd12",
  "functional": "PBE",
  "state": "optimized geometry",
  "cell": [[7.166, -0.211, -0.253], [-1.295, 7.051, -0.253], [-1.295, -1.509, 6.893]],
  "species": ["Tl", "Pd", "Pd", "Cd", "Pd", "Cd", "Pd", "Cd", "Pd", "Pd", "Pd", "Cd", "Pd", "Pd", "Cd", "Pd", "Cd", "Pd", "Pd"],
  "frac_coords": [[0.000, 0.000, 0.000], [0.258, 0.742, 0.000], [0.742, 0.258, 0.000], [0.173, 0.173, 0.442], [0.411, 0.411, 0.816], [0.442, 0.173, 0.173], [0.258, 0.000, 0.742], [0.173, 0.442, 0.173], [0.816, 0.411, 0.411], [0.411, 0.816, 0.411], [0.000, 0.258, 0.742], [0.558, 0.827, 0.827], [0.184, 0.589, 0.589], [0.589, 0.184, 0.589], [0.827, 0.827, 0.558], [0.742, 0.000, 0.258], [0.827, 0.558, 0.827], [0.589, 0.589, 0.184], [0.000, 0.742, 0.258]],
  "delta_e_f_ev_per_fu": -2.71
}

7.
{
  "formula": "TlCd2Pd",
  "functional": "PBE",
  "state": "optimized geometry",
  "cell": [[4.317, 0.000, 0.000], [0.000, 4.387, 0.000], [0.000, 0.000, 4.387]],
  "species": ["Pd", "Cd", "Cd", "Tl"],
  "frac_coords": [[0.500, 0.000, 0.000], [0.000, 0.000, 0.500], [0.000, 0.500, 0.000], [0.500, 0.500, 0.500]],
  "delta_e_f_ev_per_fu": -0.19
}

8.
{
  "formula": "TlCd2Pd3",
  "functional": "PBE",
  "state": "optimized geometry",
  "cell": [[-1.760, -1.420, 4.194], [5.399, 0.646, 5.191], [-1.897, 5.978, 1.228]],
  "species": ["Tl", "Tl", "Pd", "Pd", "Pd", "Cd", "Pd", "Cd", "Cd", "Pd", "Pd", "Cd"],
  "frac_coords": [[0.337, 0.326, 0.000], [0.663, 0.674, 0.000], [0.500, 0.000, 0.255], [0.500, 0.000, 0.745], [0.833, 0.333, 0.750], [0.000, 0.000, 0.000], [0.167, 0.667, 0.750], [0.333, 0.335, 0.500], [0.667, 0.665, 0.500], [0.167, 0.667, 0.250], [0.833, 0.333, 0.250], [0.000, 0.000, 0.500]],
  "delta_e_f_ev_per_fu": -1.79,
  "e_above_lowest_polymorph_ev_per_atom": 0.000
}

9.
{
  "formula": "TlCd4Pd15",
  "functional": "PBE",
  "state": "optimized geometry",
  "cell": [[-3.671, -0.557, 1.676], [1.766, -1.227, 3.460], [0.153, 18.892, 6.619]],
  "species": ["Cd", "Pd", "Pd", "Pd", "Pd", "Pd", "Pd", "Pd", "Tl", "Pd", "Pd", "Pd", "Pd", "Pd", "Pd", "Cd", "Cd", "Cd", "Pd", "Pd"],
  "frac_coords": [[0.000, 0.000, 0.798], [0.000, 0.500, 0.699], [0.500, 0.000, 0.500], [0.500, 0.500, 0.000], [0.500, 0.000, 0.301], [0.000, 0.500, 0.301], [0.500, 0.000, 0.898], [0.500, 0.000, 0.699], [0.000, 0.000, 0.000], [0.500, 0.500, 0.401], [0.000, 0.500, 0.898], [0.000, 0.500, 0.500], [0.500, 0.500, 0.599], [0.500, 0.500, 0.798], [0.000, 0.500, 0.102], [0.000, 0.000, 0.599], [0.000, 0.000, 0.401], [0.000, 0.000, 0.202], [0.500, 0.500, 0.202], [0.500, 0.000, 0.102]],
  "delta_e_f_ev_per_fu": -4.50
}

10.
{
  "formula": "TlCd5Pd8",
  "functional": "PBE",
  "state": "optimized geometry",
  "cell": [[7.027, -0.254, 0.436], [-2.616, 6.527, -0.436], [-1.795, -3.426, 5.889]],
  "species": ["Pd", "Pd", "Cd", "Pd", "Cd", "Pd", "Cd", "Pd", "Tl", "Cd", "Pd", "Pd", "Pd", "Cd"],
  "frac_coords": [[0.555, 0.594, 0.310], [0.603, 0.918, 0.843], [0.500, 0.000, 0.500], [0.157, 0.760, 0.076], [0.792, 0.629, 0.704], [0.039, 0.755, 0.445], [0.296, 0.087, 0.925], [0.716, 0.406, 0.961], [0.250, 0.500, 0.750], [0.075, 0.371, 0.163], [0.316, 0.240, 0.397], [0.924, 0.082, 0.684], [0.690, 0.245, 0.284], [0.837, 0.913, 0.208]],
  "delta_e_f_ev_per_fu": -2.95
}

11.
{
  "formula": "TlCd2Pd5",
  "functional": "PBE",
  "state": "optimized geometry",
  "cell": [[4.119, 0.000, -1.132], [-0.311, 4.107, -1.132], [0.022, 0.023, 8.137]],
  "species": ["Pd", "Cd", "Pd", "Pd", "Tl", "Cd", "Pd", "Pd"],
  "frac_coords": [[0.500, 0.500, 0.000], [0.252, 0.252, 0.503], [0.374, 0.874, 0.749], [0.626, 0.126, 0.251], [0.000, 0.000, 0.000], [0.748, 0.748, 0.497], [0.126, 0.626, 0.251], [0.874, 0.374, 0.749]],
  "delta_e_f_ev_per_fu": -2.44
}

12.
{
  "formula": "Tl2CdPd8",
  "functional": "PBE",
  "state": "optimized geometry",
  "cell": [[4.156, 0.000, 0.000], [0.000, 6.464, 0.278], [-2.078, -2.412, 6.866]],
  "species": ["Pd", "Tl", "Pd", "Pd", "Pd", "Pd", "Tl", "Pd", "Pd", "Cd", "Pd"],
  "frac_coords": [[0.591, 0.457, 0.182], [0.780, 0.341, 0.560], [0.139, 0.188, 0.279], [0.409, 0.543, 0.818], [0.038, 0.724, 0.077], [0.676, 0.911, 0.352], [0.220, 0.659, 0.440], [0.324, 0.089, 0.648], [0.962, 0.276, 0.923], [0.500, 0.000, 0.000], [0.861, 0.812, 0.721]],
  "delta_e_f_ev_per_fu": -2.18,
  "e_above_lowest_polymorph_ev_per_atom": 0.000
}

13.
{
  "formula": "Tl2Cd2Pd",
  "functional": "PBE",
  "state": "optimized geometry",
  "cell": [[7.118, 0.000, 0.000], [0.000, 7.118, 0.000], [0.000, 0.000, 5.074]],
  "species": ["Cd", "Cd", "Cd", "Pd", "Tl", "Cd", "Tl", "Tl", "Pd", "Tl"],
  "frac_coords": [[0.854, 0.646, 0.000], [0.354, 0.854, 0.000], [0.146, 0.354, 0.000], [0.000, 0.000, 0.000], [0.676, 0.824, 0.500], [0.646, 0.146, 0.000], [0.176, 0.676, 0.500], [0.824, 0.324, 0.500], [0.500, 0.500, 0.000], [0.324, 0.176, 0.500]],
  "delta_e_f_ev_per_fu": 0.24,
  "e_above_lowest_polymorph_ev_per_atom": 0.000
}

14.
{
  "formula": "Tl3CdPd6",
  "functional": "PBE",
  "state": "optimized geometry",
  "cell": [[5.589, 0.000, 0.000], [0.000, 9.483, -1.815], [0.000, -3.885, 8.839]],
  "species": ["Pd", "Pd", "Pd", "Tl", "Pd", "Pd", "Cd", "Pd", "Pd", "Tl", "Pd", "Tl", "Pd", "Pd", "Tl", "Tl", "Tl", "Pd", "Cd", "Pd"],
  "frac_coords": [[0.654, 0.982, 0.018], [0.280, 0.034, 0.497], [0.280, 0.503, 0.966], [0.961, 0.087, 0.307], [0.681, 0.647, 0.661], [0.780, 0.966, 0.503], [0.529, 0.811, 0.189], [0.181, 0.353, 0.339], [0.553, 0.228, 0.772], [0.461, 0.307, 0.087], [0.053, 0.772, 0.228], [0.461, 0.913, 0.693], [0.681, 0.339, 0.353], [0.780, 0.497, 0.034], [0.905, 0.619, 0.381], [0.405, 0.381, 0.619], [0.961, 0.693, 0.913], [0.154, 0.018, 0.982], [0.029, 0.189, 0.811], [0.181, 0.661, 0.647]],
  "delta_e_f_ev_per_fu": -0.55,
  "e_above_lowest_polymorph_ev_per_atom": 0.138
}

15.
{
  "formula": "TlCd2Pd",
  "functional": "PBE",
  "state": "optimized geometry",
  "cell": [[3.046, 0.000, 0.000], [1.523, 2.638, 0.000], [1.523, 0.879, 11.666]],
  "species": ["Cd", "Pd", "Cd", "Tl"],
  "frac_coords": [[0.923, 0.923, 0.232], [0.000, 0.000, 0.000], [0.077, 0.077, 0.768], [0.500, 0.500, 0.500]],
  "delta_e_f_ev_per_fu": 0.68
}

16.
{
  "formula": "TlCd2Pd",
  "functional": "PBE",
  "state": "optimized geometry",
  "cell": [[0.000, 3.488, 3.488], [3.488, 0.000, 3.488], [3.488, 3.488, 0.000]],
  "species": ["Cd", "Tl", "Cd", "Pd"],
  "frac_coords": [[0.250, 0.250, 0.250], [0.500, 0.500, 0.500], [0.750, 0.750, 0.750], [0.000, 0.000, 0.000]],
  "delta_e_f_ev_per_fu": -0.11
}

17.
{
  "formula": "TlCd2Pd9",
  "functional": "PBE",
  "state": "optimized geometry",
  "cell": [[4.055, 0.000, 0.000], [0.000, 4.055, 0.000], [0.000, 0.000, 12.098]],
  "species": ["Tl", "Pd", "Pd", "Cd", "Pd", "Pd", "Pd", "Pd", "Cd", "Pd", "Pd", "Pd"],
  "frac_coords": [[0.000, 0.000, 0.000], [0.500, 0.500, 0.664], [0.500, 0.500, 0.000], [0.000, 0.000, 0.665], [0.500, 0.000, 0.500], [0.000, 0.500, 0.830], [0.500, 0.000, 0.170], [0.000, 0.500, 0.500], [0.000, 0.000, 0.335], [0.500, 0.500, 0.336], [0.500, 0.000, 0.830], [0.000, 0.500, 0.170]],
  "delta_e_f_ev_per_fu": -2.55
}

18.
{
  "formula": "TlCdPd6",
  "functional": "PBE",
  "state": "optimized geometry",
  "cell": [[-2.087, -1.614, -3.855], [-2.406, -4.223, 3.070], [-2.735, 5.018, -0.619]],
  "species": ["Pd", "Cd", "Pd", "Pd", "Pd", "Pd", "Pd", "Tl"],
  "frac_coords": [[0.500, 0.915, 0.580], [0.000, 0.083, 0.917], [0.500, 0.915, 0.085], [0.000, 0.586, 0.923], [0.000, 0.077, 0.414], [0.000, 0.586, 0.414], [0.500, 0.420, 0.085], [0.500, 0.417, 0.583]],
  "delta_e_f_ev_per_fu": -1.69,
  "e_above_lowest_polymorph_ev_per_atom": 0.000
}

19.
{
  "formula": "Tl2Cd3Pd8",
  "functional": "PBE",
  "state": "optimized geometry",
  "cell": [[5.368, 0.000, 0.000], [2.684, 4.649, 0.000], [2.684, 1.550, 10.065]],
  "species": ["Pd", "Pd", "Cd", "Pd", "Cd", "Pd", "Tl", "Tl", "Pd", "Pd", "Pd", "Cd", "Pd"],
  "frac_coords": [[0.226, 0.730, 0.314], [0.730, 0.226, 0.314], [0.816, 0.816, 0.551], [0.774, 0.270, 0.686], [0.184, 0.184, 0.449], [0.728, 0.728, 0.817], [0.638, 0.638, 0.085], [0.362, 0.362, 0.915], [0.730, 0.730, 0.314], [0.270, 0.774, 0.686], [0.270, 0.270, 0.686], [0.000, 0.000, 0.000], [0.272, 0.272, 0.183]],
  "delta_e_f_ev_per_fu": -0.61
}

20.
{
  "formula": "TlCd2Pd6",
  "functional": "PBE",
  "state": "optimized geometry",
  "cell": [[4.595, 0.000, 0.000], [-2.298, 3.971, -0.001], [0.000, -0.025, 8.465]],
  "species": ["Cd", "Pd", "Tl", "Pd", "Pd", "Pd", "Cd", "Pd", "Pd"],
  "frac_coords": [[0.666, 0.333, 0.261], [0.000, 0.000, 0.164], [0.000, 0.000, 0.500], [0.667, 0.334, 0.943], [0.333, 0.666, 0.393], [0.000, 0.000, 0.836], [0.334, 0.667, 0.739], [0.333, 0.666, 0.057], [0.667, 0.334, 0.607]],
  "delta_e_f_ev_per_fu": -1.99,
  "e_above_lowest_polymorph_ev_per_atom": 0.000
}

21.
{
  "formula": "Tl5Cd2Pd12",
  "functional": "PBE",
  "state": "optimized geometry",
  "cell": [[-5.609, 0.013, -0.702], [2.363, -7.298, 3.736], [-0.755, 6.804, 6.160]],
  "species": ["Pd", "Pd", "Tl", "Tl", "Pd", "Pd", "Pd", "Pd", "Pd", "Tl", "Pd", "Cd", "Pd", "Pd", "Tl", "Tl", "Cd", "Pd", "Pd"],
  "frac_coords": [[0.057, 0.634, 0.876], [0.423, 0.366, 0.124], [0.000, 0.000, 0.500], [0.312, 0.623, 0.622], [0.490, 0.980, 0.642], [0.102, 0.204, 0.305], [0.906, 0.311, 0.606], [0.595, 0.689, 0.394], [0.577, 0.634, 0.876], [0.661, 0.322, 0.867], [0.943, 0.366, 0.124], [0.246, 0.000, 0.000], [0.510, 0.020, 0.358], [0.898, 0.796, 0.695], [0.339, 0.678, 0.133], [0.688, 0.377, 0.378], [0.754, 0.000, 0.000], [0.405, 0.311, 0.606], [0.094, 0.689, 0.394]],
  "delta_e_f_ev_per_fu": -0.70
}